(1)
A geometry-optimized CaMgSb structure, computed with PBEsol.

POSCAR file:
```
CaMgSb
1.0
4.2960 0.0000 0.0000
0.0000 4.7134 0.0000
0.0000 -2.3567 4.0819
Sb Ca Mg
1 1 1
Direct
0.4999 0.6667 0.3333 Sb
0.9999 0.0000 0.0000 Ca
0.5002 0.3333 0.6667 Mg
```

Values from the calculation:
* SG: P-6m2 (187)
* energy: -10.04 eV per cell



(2)
A geometry-optimized CaMgSc2 structure, computed with PBEsol.

POSCAR file:
```
CaMgSc2
1.0
3.4010 0.0000 0.0000
0.0000 3.4010 0.0000
0.0000 0.0000 9.2263
Sc Ca Mg
2 1 1
Direct
0.0000 0.0000 0.9993 Sc
0.5000 0.5000 0.2182 Sc
0.0000 0.0000 0.5063 Ca
0.5000 0.5000 0.7762 Mg
```

Values from the calculation:
* SG: P4mm (99)
* energy: -16.86 eV per cell



(3)
A geometry-optimized CaMg4Sc structure, computed with PBEsol.

POSCAR file:
```
CaMg4Sc
1.0
-2.5230 1.9276 5.0514
0.3053 -3.3248 4.9448
3.4209 1.7494 4.5646
Sc Ca Mg
1 1 4
Direct
0.7500 0.7500 0.7500 Sc
0.0000 0.0000 0.0000 Ca
0.3758 0.3758 0.3758 Mg
0.3758 0.3758 0.8726 Mg
0.8726 0.3758 0.3758 Mg
0.3758 0.8726 0.3758 Mg
```

Values from the calculation:
* SG: F-43m (216)
* energy: -15.71 eV per cell



(4)
A geometry-optimized Ca2MgSc structure, computed with PBEsol.

POSCAR file:
```
Ca2MgSc
1.0
-2.3645 -0.5786 2.7275
2.7580 0.0397 2.3994
-1.0338 9.1150 1.0375
Sc Ca Mg
1 2 1
Direct
0.5000 0.5000 0.7071 Sc
0.0000 0.0000 0.9725 Ca
0.5000 0.5000 0.2930 Ca
0.0000 0.0000 0.5274 Mg
```

Values from the calculation:
* SG: P4mm (99)
* energy: -12.35 eV per cell



(5)
A geometry-optimized Ca2MgSc structure, computed with PBEsol.

POSCAR file:
```
Ca2MgSc
1.0
-2.9478 0.5761 1.8413
-1.0659 -3.2888 -0.6775
4.4956 -3.1420 8.1802
Ca Mg Sc
2 1 1
Direct
0.0000 0.0000 0.7566 Ca
0.0000 0.0000 0.2434 Ca
0.5000 0.5000 0.0000 Mg
0.5000 0.5000 0.5000 Sc
```

Values from the calculation:
* SG: P4/mmm (123)
* energy: -12.13 eV per cell



(6)
A geometry-optimized CaMgSc2Ta structure, computed with PBEsol.

POSCAR file:
```
CaMgSc2Ta
1.0
-0.1215 -4.0847 -2.9859
2.3151 -2.7625 3.6848
-4.6037 -1.2774 1.9347
Sc Ca Mg Ta
2 1 1 1
Direct
0.0000 0.0000 0.5000 Sc
0.0000 0.5000 0.0000 Sc
0.5000 0.5000 0.5000 Ca
0.0000 0.0000 0.0000 Mg
0.5000 0.0000 0.0000 Ta
```

Values from the calculation:
* SG: P4/mmm (123)
* energy: -24.28 eV per cell



(7)
A geometry-optimized CaMg2Se structure, computed with PBEsol.

POSCAR file:
```
CaMg2Se
1.0
-2.0334 3.3073 0.6879
-3.0024 -1.4014 -2.1373
-2.4395 -2.5621 5.1069
Ca Mg Se
1 2 1
Direct
0.5000 0.5000 0.5000 Ca
0.0000 0.0000 0.7704 Mg
0.0000 0.0000 0.2296 Mg
0.5000 0.5000 0.0000 Se
```

Values from the calculation:
* SG: P4/mmm (123)
* energy: -10.89 eV per cell



(8)
A geometry-optimized CaMgSe3 structure, computed with PBEsol.

POSCAR file:
```
CaMgSe3
1.0
5.0105 0.0000 0.0000
0.0000 5.0105 0.0000
0.0000 0.0000 5.0105
Ca Mg Se
1 1 3
Direct
0.5000 0.5000 0.5000 Ca
0.0000 0.0000 0.0000 Mg
0.0000 0.5000 0.0000 Se
0.0000 0.0000 0.5000 Se
0.5000 0.0000 0.0000 Se
```

Values from the calculation:
* SG: Pm-3m (221)
* energy: -19.04 eV per cell